1.
The following is a DFT calculation (PBE) of a geometry-optimized GdErCd2 structure.

Results
* E above lowest polymorph: 0.001 eV per atom
* space-group type: Cmcm (63)
* crystal system: orthorhombic
* energy of formation from the pure elements: -125 kJ/mol of formula units

Lattice parameters (Å, degrees): 6.4738 6.4738 5.2901 90.00 90.00 110.36
Positions (direct):
1 Gd 0.1347 0.8653 0.7500
2 Gd 0.8653 0.1347 0.2500
3 Er 0.3744 0.6256 0.2500
4 Er 0.6256 0.3744 0.7500
5 Cd 0.1312 0.3646 0.7500
6 Cd 0.3646 0.1312 0.2500
7 Cd 0.6354 0.8688 0.7500
8 Cd 0.8688 0.6354 0.2500


2.
The following is a DFT calculation (PBE) of a geometry-optimized HfBeSiOs structure.

Results
* E above lowest polymorph: 0.000 eV per atom
* space-group type: F-43m (216)
* crystal system: cubic

Lattice parameters (Å, degrees): 4.2776 4.2776 4.2776 60.00 60.00 60.00
Positions (direct):
1 Hf 0.0000 0.0000 0.0000
2 Be 0.7500 0.7500 0.7500
3 Si 0.2500 0.2500 0.2500
4 Os 0.5000 0.5000 0.5000


3.
The following is a DFT calculation (PBE) of a geometry-optimized Y4Lu3Ni2Te2 structure.

Results
* E above lowest polymorph: 0.015 eV per atom
* space-group type: Imm2 (44)
* crystal system: orthorhombic

Lattice parameters (Å, degrees): 9.3144 9.3144 9.3144 156.20 66.98 118.43
Positions (direct):
1 Y 0.1454 0.0000 0.1454
2 Y 0.1684 0.3523 0.8161
3 Y 0.5362 0.3523 0.1839
4 Y 0.8546 0.0000 0.8546
5 Lu 0.2305 0.7305 0.5000
6 Lu 0.5143 0.1479 0.3663
7 Lu 0.7816 0.1479 0.6337
8 Ni 0.3994 0.6580 0.7415
9 Ni 0.9165 0.6580 0.2585
10 Te 0.4980 0.4980 0.0000
11 Te 0.8896 0.3896 0.5000


4.
The following is a DFT calculation (PBE) of a geometry-optimized HgH16C14N2 structure.

Results
* space-group type: I-4 (82)
* crystal system: tetragonal
* VASP energy: -201.1 eV/f.u.

Lattice parameters (Å, degrees): 9.7893 9.7893 9.7893 99.67 99.67 131.60
Positions (direct):
1 Hg 0.2117 0.2117 0.0000
2 Hg 0.7883 0.7883 0.0000
3 H 0.0139 0.8590 0.7846
4 H 0.0744 0.2293 0.2154
5 H 0.1334 0.8114 0.6056
6 H 0.1410 0.9256 0.1549
7 H 0.1421 0.6630 0.8635
8 H 0.1510 0.5288 0.5589
9 H 0.1886 0.7942 0.3220
10 H 0.2058 0.5278 0.3944
11 H 0.2140 0.6624 0.2017
12 H 0.2361 0.2501 0.6690
13 H 0.3370 0.2005 0.4791
14 H 0.3376 0.5394 0.5517
15 H 0.3839 0.4654 0.8155
16 H 0.4080 0.8490 0.3779
17 H 0.4316 0.6161 0.0815
18 H 0.4328 0.7639 0.0140
19 H 0.4606 0.0123 0.7983
20 H 0.4712 0.0301 0.6221
21 H 0.4722 0.8666 0.6780
22 H 0.5346 0.3501 0.9185
23 H 0.5812 0.5672 0.3310
24 H 0.6020 0.3413 0.3810
25 H 0.6499 0.5684 0.1845
26 H 0.6587 0.0397 0.2606
27 H 0.7213 0.8579 0.5209
28 H 0.7499 0.4188 0.9860
29 H 0.7707 0.9861 0.8451
30 H 0.7790 0.3980 0.7393
31 H 0.7995 0.2787 0.1365
32 H 0.9603 0.2210 0.6190
33 H 0.9699 0.5920 0.4411
34 H 0.9877 0.7860 0.4483
35 C 0.0401 0.2519 0.4256
36 C 0.0606 0.2827 0.9207
37 C 0.0616 0.5144 0.8606
38 C 0.1657 0.4755 0.9262
39 C 0.1907 0.4733 0.4857
40 C 0.2845 0.0018 0.1473
41 C 0.2950 0.8093 0.2825
42 C 0.3619 0.1399 0.0793
43 C 0.3854 0.9599 0.2117
44 C 0.4856 0.3463 0.5472
45 C 0.5245 0.4507 0.6902
46 C 0.5267 0.0124 0.7175
47 C 0.5493 0.2395 0.0738
48 C 0.5729 0.0640 0.2076
49 C 0.6347 0.4271 0.4911
50 C 0.6537 0.2009 0.1394
51 C 0.7173 0.6381 0.7780
52 C 0.7481 0.1737 0.7883
53 C 0.7605 0.8343 0.3098
54 C 0.7991 0.9384 0.4528
55 C 0.8263 0.6146 0.5744
56 C 0.8545 0.1372 0.8527
57 C 0.8563 0.3653 0.7924
58 C 0.8601 0.9394 0.2220
59 C 0.8628 0.7155 0.7173
60 C 0.9360 0.1437 0.5089
61 C 0.9876 0.7050 0.5143
62 C 0.9982 0.1455 0.2827
63 N 0.3734 0.6246 0.9892
64 N 0.3754 0.3647 0.7489
65 N 0.6158 0.6266 0.2511
66 N 0.6353 0.3842 0.0108


5.
The following is a DFT calculation (PBE) of a geometry-optimized SmDySi2Os structure.

Results
* E above lowest polymorph: 0.016 eV per atom
* space-group type: C2/m (12)
* crystal system: monoclinic

Lattice parameters (Å, degrees): 5.8632 5.8632 10.1374 117.62 117.62 42.39
Positions (direct):
1 Sm 0.0126 0.0126 0.1814
2 Sm 0.9874 0.9874 0.8186
3 Dy 0.1824 0.1824 0.6099
4 Dy 0.8176 0.8176 0.3901
5 Si 0.3497 0.3497 0.9377
6 Si 0.4997 0.4997 0.3756
7 Si 0.5003 0.5003 0.6244
8 Si 0.6503 0.6503 0.0623
9 Os 0.2726 0.2726 0.1269
10 Os 0.7274 0.7274 0.8731


6.
The following is a DFT calculation (PBE) of a geometry-optimized GdNpU structure.

Results
* space-group type: F-43m (216)
* crystal system: cubic
* energy of formation from the pure elements: 333 kJ/mol of formula units

Lattice parameters (Å, degrees): 4.9342 4.9342 4.9342 60.00 60.00 60.00
Positions (direct):
1 Gd 0.0000 0.0000 0.0000
2 Np 0.5000 0.5000 0.5000
3 U 0.2500 0.2500 0.2500


7.
The following is a DFT calculation (PBE) of a geometry-optimized K3Sb2Ir structure.

Results
* space-group type: Ibam (72)
* crystal system: orthorhombic
* VASP energy: -21.8 eV/f.u.

Lattice parameters (Å, degrees): 9.1462 9.1462 9.1462 122.77 77.21 132.85
Positions (direct):
1 K 0.1809 0.6864 0.8673
2 K 0.2500 0.2500 0.0000
3 K 0.3191 0.1864 0.5055
4 K 0.6809 0.8136 0.4945
5 K 0.7500 0.7500 0.0000
6 K 0.8191 0.3136 0.1327
7 Sb 0.0808 0.3281 0.4089
8 Sb 0.4192 0.8281 0.2473
9 Sb 0.5808 0.1719 0.7527
10 Sb 0.9192 0.6719 0.5911
11 Ir 0.2500 0.7500 0.5000
12 Ir 0.7500 0.2500 0.5000


8.
The following is a DFT calculation (PBE) of a geometry-optimized Be2Mo2W structure.

Results
* space-group type: P4/mbm (127)
* crystal system: tetragonal
* VASP energy: -43.2 eV/f.u.

Lattice parameters (Å, degrees): 6.2458 6.2458 3.2114 90.00 90.00 90.00
Positions (direct):
1 Be 0.1175 0.3825 0.0000
2 Be 0.3825 0.8825 0.0000
3 Be 0.6175 0.1175 0.0000
4 Be 0.8825 0.6175 0.0000
5 Mo 0.1775 0.6775 0.5000
6 Mo 0.3225 0.1775 0.5000
7 Mo 0.6775 0.8225 0.5000
8 Mo 0.8225 0.3225 0.5000
9 W 0.0000 0.0000 0.0000
10 W 0.5000 0.5000 0.0000


9.
The following is a DFT calculation (PBE) of a geometry-optimized Na4ZnGaPt2 structure.

Results
* space-group type: P-4m2 (115)
* crystal system: tetragonal
* VASP energy: -23.2 eV/f.u.

Lattice parameters (Å, degrees): 4.6858 4.6858 6.6211 90.00 90.00 90.00
Positions (direct):
1 Na 0.0000 0.0000 0.0000
2 Na 0.0000 0.5000 0.7444
3 Na 0.5000 0.0000 0.2556
4 Na 0.5000 0.5000 0.5000
5 Zn 0.0000 0.0000 0.5000
6 Ga 0.5000 0.5000 0.0000
7 Pt 0.0000 0.5000 0.2397
8 Pt 0.5000 0.0000 0.7603


10.
The following is a DFT calculation (PBE) of a geometry-optimized LuZnFeCo structure.

Results
* E above lowest polymorph: 0.031 eV per atom
* space-group type: F-43m (216)
* crystal system: cubic
* energy of formation from the pure elements: 19 kJ/mol of formula units

Lattice parameters (Å, degrees): 4.4223 4.4223 4.4223 60.00 60.00 60.00
Positions (direct):
1 Lu 0.0000 0.0000 0.0000
2 Zn 0.2500 0.2500 0.2500
3 Fe 0.7500 0.7500 0.7500
4 Co 0.5000 0.5000 0.5000


11.
The following is a DFT calculation (PBE) of a geometry-optimized Pr3NdC2Br2 structure.

Results
* space-group type: P3m1 (156)
* crystal system: trigonal
* VASP energy: -47.9 eV/f.u.

Lattice parameters (Å, degrees): 3.8353 3.8353 15.0226 90.00 90.00 120.00
Positions (direct):
1 Pr 0.0000 0.0000 0.0000
2 Pr 0.0000 0.0000 0.3162
3 Pr 0.3333 0.6667 0.8150
4 Nd 0.3333 0.6667 0.4997
5 C 0.6667 0.3333 0.4099
6 C 0.6667 0.3333 0.9075
7 Br 0.0000 0.0000 0.6556
8 Br 0.3333 0.6667 0.1583


12.
The following is a DFT calculation (PBE) of a geometry-optimized RbTb2Cu3TeSe4 structure.

Results
* space-group type: Cmcm (63)
* crystal system: orthorhombic
* VASP energy: -50.0 eV/f.u.

Lattice parameters (Å, degrees): 7.5722 7.5722 17.5939 90.00 90.00 147.90
Positions (direct):
1 Rb 0.0494 0.9506 0.7500
2 Rb 0.9506 0.0494 0.2500
3 Tb 0.1891 0.8109 0.0866
4 Tb 0.1891 0.8109 0.4134
5 Tb 0.8109 0.1891 0.5866
6 Tb 0.8109 0.1891 0.9134
7 Cu 0.3466 0.6534 0.7500
8 Cu 0.4143 0.5857 0.0295
9 Cu 0.4143 0.5857 0.4705
10 Cu 0.5857 0.4143 0.5295
11 Cu 0.5857 0.4143 0.9705
12 Cu 0.6534 0.3466 0.2500
13 Te 0.2525 0.7475 0.2500
14 Te 0.7475 0.2525 0.7500
15 Se 0.1652 0.8348 0.5725
16 Se 0.1652 0.8348 0.9275
17 Se 0.4416 0.5584 0.6137
18 Se 0.4416 0.5584 0.8863
19 Se 0.5584 0.4416 0.1137
20 Se 0.5584 0.4416 0.3863
21 Se 0.8348 0.1652 0.0725
22 Se 0.8348 0.1652 0.4275


13.
The following is a DFT calculation (PBE) of a geometry-optimized AlCuW structure.

Results
* E above lowest polymorph: 0.000 eV per atom
* space-group type: F-43m (216)
* crystal system: cubic

Lattice parameters (Å, degrees): 4.0705 4.0705 4.0705 60.00 60.00 60.00
Positions (direct):
1 Al 0.0000 0.0000 0.0000
2 Cu 0.2500 0.2500 0.2500
3 W 0.5000 0.5000 0.5000


14.
The following is a DFT calculation (PBE) of a geometry-optimized ErBeAsO structure.

Results
* E above lowest polymorph: 1.354 eV per atom
* space-group type: P4/nmm (129)
* crystal system: tetragonal

Lattice parameters (Å, degrees): 3.8789 3.8789 9.5505 90.00 90.00 90.00
Positions (direct):
1 Er 0.2500 0.7500 0.0000
2 Er 0.7500 0.2500 0.0000
3 Be 0.2500 0.2500 0.4937
4 Be 0.7500 0.7500 0.5063
5 As 0.2500 0.2500 0.2067
6 As 0.7500 0.7500 0.7933
7 O 0.2500 0.7500 0.5000
8 O 0.7500 0.2500 0.5000


15.
The following is a DFT calculation (PBE) of a geometry-optimized NdDyH2I4 structure.

Results
* space-group type: P-6m2 (187)
* crystal system: hexagonal
* VASP energy: -31.9 eV/f.u.

Lattice parameters (Å, degrees): 4.0659 4.0659 16.6778 90.00 90.00 120.00
Positions (direct):
1 Nd 0.0000 0.0000 0.0000
2 Dy 0.0000 0.0000 0.5000
3 H 0.3333 0.6667 0.0000
4 H 0.6667 0.3333 0.5000
5 I 0.3333 0.6667 0.3747
6 I 0.3333 0.6667 0.6253
7 I 0.6667 0.3333 0.1314
8 I 0.6667 0.3333 0.8686


16.
The following is a DFT calculation (PBE) of a geometry-optimized AcHoAs structure.

Results
* E above lowest polymorph: 0.984 eV per atom
* space-group type: F-43m (216)
* crystal system: cubic

Lattice parameters (Å, degrees): 5.3275 5.3275 5.3275 60.00 60.00 60.00
Positions (direct):
1 Ac 0.0000 0.0000 0.0000
2 Ho 0.2500 0.2500 0.2500
3 As 0.7500 0.7500 0.7500


17.
The following is a DFT calculation (PBE) of a geometry-optimized HfNi2Ir structure.

Results
* space-group type: F-43m (216)
* crystal system: cubic
* energy of formation from the pure elements: -146 kJ/mol of formula units

Lattice parameters (Å, degrees): 4.3357 4.3357 4.3357 60.00 60.00 60.00
Positions (direct):
1 Hf 0.0000 0.0000 0.0000
2 Ni 0.2500 0.2500 0.2500
3 Ni 0.5000 0.5000 0.5000
4 Ir 0.7500 0.7500 0.7500


18.
The following is a DFT calculation (PBE) of a geometry-optimized GdDy2Mg3AgAu2 structure.

Results
* space-group type: Amm2 (38)
* crystal system: orthorhombic
* VASP energy: -32.9 eV/f.u.

Lattice parameters (Å, degrees): 3.9931 7.7542 7.7542 120.00 90.00 90.00
Positions (direct):
1 Gd 0.0000 0.0000 0.0000
2 Dy 0.0000 0.1709 0.5852
3 Dy 0.0000 0.5852 0.1709
4 Mg 0.5000 0.3348 0.3348
5 Mg 0.5000 0.5846 0.8360
6 Mg 0.5000 0.8360 0.5846
7 Ag 0.0000 0.5846 0.5846
8 Au 0.5000 0.2538 0.9183
9 Au 0.5000 0.9183 0.2538


19.
The following is a DFT calculation (PBE) of a geometry-optimized HfCdTc structure.

Results
* E above lowest polymorph: 0.000 eV per atom
* space-group type: F-43m (216)
* crystal system: cubic
* energy of formation from the pure elements: 150 kJ/mol of formula units

Lattice parameters (Å, degrees): 4.5168 4.5168 4.5168 60.00 60.00 60.00
Positions (direct):
1 Hf 0.0000 0.0000 0.0000
2 Cd 0.5000 0.5000 0.5000
3 Tc 0.7500 0.7500 0.7500


20.
The following is a DFT calculation (PBE) of a geometry-optimized Zr4PAuN2 structure.

Results
* space-group type: P-6m2 (187)
* crystal system: hexagonal
* VASP energy: -69.6 eV/f.u.

Lattice parameters (Å, degrees): 3.3568 3.3568 13.0890 90.00 90.00 120.00
Positions (direct):
1 Zr 0.0000 0.0000 0.1376
2 Zr 0.0000 0.0000 0.8624
3 Zr 0.3333 0.6667 0.3287
4 Zr 0.3333 0.6667 0.6713
5 P 0.3333 0.6667 0.0000
6 Au 0.0000 0.0000 0.5000
7 N 0.6667 0.3333 0.2371
8 N 0.6667 0.3333 0.7629


21.
The following is a DFT calculation (PBE) of a geometry-optimized LaBeHg structure.

Results
* E above lowest polymorph: 0.000 eV per atom
* space-group type: F-43m (216)
* crystal system: cubic

Lattice parameters (Å, degrees): 4.6928 4.6928 4.6928 60.00 60.00 60.00
Positions (direct):
1 La 0.0000 0.0000 0.0000
2 Be 0.7500 0.7500 0.7500
3 Hg 0.5000 0.5000 0.5000


22.
The following is a DFT calculation (PBE) of a geometry-optimized RbH3Au structure.

Results
* space-group type: I4/mmm (139)
* crystal system: tetragonal
* VASP energy: -15.3 eV/f.u.

Lattice parameters (Å, degrees): 6.0689 6.0689 6.0689 120.38 120.38 89.34
Positions (direct):
1 Rb 0.2500 0.7500 0.5000
2 Rb 0.7500 0.2500 0.5000
3 H 0.1942 0.1942 0.0000
4 H 0.3042 0.3042 0.6085
5 H 0.3042 0.6958 0.0000
6 H 0.6958 0.3042 0.0000
7 H 0.6958 0.6958 0.3915
8 H 0.8058 0.8058 0.0000
9 Au 0.0000 0.0000 0.0000
10 Au 0.5000 0.5000 0.0000